No. 1
Below is an optimized crystal structure of CsNb2PtW, with properties calculated at the PBE level.

Values from the calculation:
The crystal system is tetragonal. The total energy comes out at -29.0 eV for the cell shown. The value obtained for the density is 7703 kg/m3.

Lattice parameters (Å, degrees): 5.0019 5.0019 6.0109 90.00 90.00 90.00
Closest atoms and distances in Å follow each position.
Fractional positions:
Cs (0.0000, 0.0000, 0.0000)  2 Pt 3.01
Nb (0.0000, 0.5000, 0.5000)  2 Pt 2.50
Nb (0.5000, 0.0000, 0.5000)  2 Pt 2.50
Pt (0.0000, 0.0000, 0.5000)  4 Nb 2.50
W (0.5000, 0.5000, 0.0000)  4 Cs 3.54, 8 Nb 3.91


No. 2
Below is an optimized crystal structure of CsNbZn2Pt, with properties calculated at the PBE level.

Values from the calculation:
The crystal system is tetragonal. The total energy comes out at -12.1 eV for the cell shown. The value obtained for the density is 5642 kg/m3.

Lattice parameters (Å, degrees): 5.1909 5.1909 6.0258 90.00 90.00 90.00
Closest atoms and distances in Å follow each position.
Fractional positions:
Cs (0.0000, 0.0000, 0.0000)  2 Nb 3.01
Nb (0.0000, 0.0000, 0.5000)  4 Zn 2.60
Zn (0.0000, 0.5000, 0.5000)  2 Nb 2.60
Zn (0.5000, 0.0000, 0.5000)  2 Nb 2.60
Pt (0.5000, 0.5000, 0.0000)  4 Cs 3.67, 8 Zn 3.98


Energy of formation from the pure elements
In order: 213; 143
Unit: kJ per mole of atoms